Density functional theory data (meta-GGA SCAN) for a crystal of RbBiAs2Br relaxed with PBEsol.

```
RbBiAs2Br
1.0
5.535 0.000 0.000
0.000 5.535 0.000
0.000 0.000 5.627
As Br Bi Rb
2 1 1 1
Cartesian
0.000 2.768 0.000
2.768 0.000 0.000
0.000 0.000 2.814
2.768 2.768 2.814
0.000 0.000 0.000
```

Values from the calculation:
- Symmetry: No. 123
- VASP energy: -30.644 eV per atom
- E_form (uncorrected): 1188 meV/atom
- D(E_F): 4.90 states/eV per cell

Density functional theory data (meta-GGA SCAN) for a crystal of MoPt2Se relaxed with PBEsol.

```
MoPt2Se
1.0
-0.780 -3.727 0.448
3.451 -0.892 -1.414
0.289 2.437 4.368
Mo Pt Se
1 2 1
Cartesian
0.000 0.000 0.000
0.422 -1.800 2.167
2.538 -0.383 1.236
1.335 -2.310 -0.483
```

Values from the calculation:
- Symmetry: No. 139
- VASP energy: -48.553 eV per atom
- E_form (uncorrected): 285 meV/atom
- D(E_F): 3.32 states/eV per cell

Density functional theory data (meta-GGA SCAN) for a crystal of SrAlNi2 relaxed with PBEsol.

```
SrAlNi2
1.0
4.581 0.000 0.000
2.290 3.967 0.000
2.290 1.322 3.740
Sr Al Ni
1 1 2
Cartesian
2.290 1.322 0.935
4.581 2.645 1.870
0.000 0.000 0.000
6.871 3.967 2.805
```

Values from the calculation:
- Symmetry: No. 216
- VASP energy: -15.107 eV per atom
- Energy relative to the elements: 0.486 eV per atom
- D(E_F): 3.17 states/eV per cell

Density functional theory data (meta-GGA SCAN) for a crystal of CaFe2Rh relaxed with PBEsol.

```
CaFe2Rh
1.0
-0.296 1.736 -2.534
2.772 -2.535 -2.061
-3.395 -2.591 -1.379
Ca Fe Rh
1 2 1
Cartesian
-0.312 -2.563 -1.720
0.000 0.000 0.000
1.238 -0.399 -2.297
-1.846 -0.427 -1.956
```

Values from the calculation:
- Symmetry: No. 47
- VASP energy: -19.682 eV per atom
- Energy relative to the elements: 0.242 eV per atom
- D(E_F): 2.36 states/eV per cell

Density functional theory data (meta-GGA SCAN) for a crystal of Cs3HgF relaxed with PBEsol.

```
Cs3HgF
1.0
5.897 0.000 0.000
0.000 5.897 0.000
0.000 0.000 5.897
Cs Hg F
3 1 1
Cartesian
0.000 2.948 0.000
0.000 0.000 2.948
2.948 0.000 0.000
2.948 2.948 2.948
0.000 0.000 0.000
```

Values from the calculation:
- Symmetry: No. 221
- VASP energy: -38.248 eV per atom
- E_form (uncorrected): -1221 meV/atom
- D(E_F): 3.22 states/eV per cell

Density functional theory data (meta-GGA SCAN) for a crystal of Sc2AgRu relaxed with PBEsol.

```
Sc2AgRu
1.0
3.209 0.000 0.000
0.000 3.209 0.000
0.000 0.000 6.821
Sc Ru Ag
2 1 1
Cartesian
0.000 0.000 4.937
0.000 0.000 1.884
1.605 1.605 3.410
1.605 1.605 0.000
```

Values from the calculation:
- Symmetry: No. 123
- VASP energy: -24.272 eV per atom
- Energy relative to the elements: -0.605 eV per atom
- D(E_F): 1.77 states/eV per cell

Density functional theory data (meta-GGA SCAN) for a crystal of LiMnTeN2 relaxed with PBEsol.

```
LiMnTeN2
1.0
3.601 0.000 0.000
0.000 3.601 0.000
0.000 0.000 5.411
Te Li Mn N
1 1 1 2
Cartesian
0.000 0.000 2.706
1.801 1.801 2.706
0.000 0.000 0.000
0.000 1.801 0.000
1.801 0.000 0.000
```

Values from the calculation:
- Symmetry: No. 123
- VASP energy: -15.021 eV per atom
- E_form (uncorrected): 275 meV/atom
- D(E_F): 1.64 states/eV per cell

Density functional theory data (meta-GGA SCAN) for a crystal of InAu relaxed with PBEsol.

```
InAu
1.0
-0.679 1.344 3.112
1.665 -1.177 2.792
6.233 5.691 0.823
Au In
2 2
Cartesian
3.969 3.530 1.262
3.250 2.327 5.465
1.542 0.955 3.765
5.677 4.902 2.963
```

Values from the calculation:
- Symmetry: No. 166
- VASP energy: -51.379 eV per atom
- Energy relative to the elements: -0.107 eV per atom
- D(E_F): 1.42 states/eV per cell

Density functional theory data (meta-GGA SCAN) for a crystal of PrSnPt relaxed with PBEsol.

```
PrSnPt
1.0
4.606 0.000 0.000
0.000 7.416 0.000
0.000 0.000 8.006
Pr Sn Pt
4 4 4
Cartesian
1.151 3.803 6.458
3.454 7.321 2.455
1.151 0.095 5.550
3.454 3.613 1.547
3.454 2.411 4.670
3.454 6.120 7.339
1.151 5.005 3.336
1.151 1.297 0.667
3.454 1.547 7.269
3.454 5.255 4.740
1.151 2.162 3.266
1.151 5.870 0.737
```

Values from the calculation:
- Symmetry: No. 62
- VASP energy: -51.042 eV per atom
- Energy relative to the elements: -1.229 eV per atom
- D(E_F): 6.30 states/eV per cell

Density functional theory data (meta-GGA SCAN) for a crystal of ZnGeN2 relaxed with PBEsol.

```
ZnGeN2
1.0
5.471 0.007 0.000
-0.118 5.474 0.000
0.000 0.000 6.374
Zn Ge N
4 4 8
Cartesian
2.145 3.702 5.529
0.473 1.775 2.343
3.208 1.778 0.844
4.880 3.706 4.031
2.172 4.555 2.313
0.446 0.922 5.500
3.181 0.925 4.061
4.907 4.559 0.874
0.326 4.493 5.594
2.291 0.984 2.407
5.026 0.988 0.780
3.062 4.496 3.967
0.465 3.843 2.255
2.152 1.634 5.442
4.887 1.638 4.119
3.201 3.846 0.932
```

Values from the calculation:
- Symmetry: No. 14
- VASP energy: -13.046 eV per atom
- E_form (uncorrected): -250 meV/atom
- D(E_F): 0.00 states/eV per cell

Density functional theory data (meta-GGA SCAN) for a crystal of Ca5BC4Cl3 relaxed with PBEsol.

```
Ca5BC4Cl3
1.0
3.815 0.000 0.000
-1.907 6.898 0.000
0.000 0.000 18.513
Ca B C Cl
10 2 8 6
Cartesian
0.000 2.173 4.628
0.000 4.954 17.338
0.000 0.735 15.920
0.000 4.954 10.433
0.000 0.735 11.850
1.907 1.945 8.081
1.907 6.164 2.593
1.907 1.945 1.176
1.907 4.725 13.885
1.907 6.164 6.664
0.000 6.419 13.885
1.907 0.479 4.628
0.000 0.575 9.003
0.000 0.575 0.254
1.907 6.324 18.259
1.907 6.324 9.511
0.000 6.177 15.313
0.000 6.177 12.457
1.907 0.721 6.056
1.907 0.721 3.201
0.000 3.996 7.667
0.000 3.996 1.590
0.000 2.640 13.885
1.907 2.903 16.923
1.907 4.258 4.628
1.907 2.903 10.847
```

Values from the calculation:
- Symmetry: No. 63
- VASP energy: -10.355 eV per atom
- E_form (uncorrected): -1118 meV/atom

Density functional theory data (meta-GGA SCAN) for a crystal of YFeTc2 relaxed with PBEsol.

```
YFeTc2
1.0
-3.791 1.201 1.963
-1.782 -2.573 3.143
0.018 1.332 4.230
Fe Tc Y
1 2 1
Cartesian
-2.778 -0.020 4.668
0.000 0.000 0.000
-4.166 -0.030 7.002
-1.389 -0.010 2.334
```

Values from the calculation:
- Symmetry: No. 216
- VASP energy: -28.820 eV per atom
- Energy relative to the elements: 0.203 eV per atom
- D(E_F): 3.67 states/eV per cell
- Distance to the lowest polymorph of the same formula: 0.000 eV per atom

Density functional theory data (meta-GGA SCAN) for a crystal of KCd2Si2 relaxed with PBEsol.

```
KCd2Si2
1.0
4.542 0.000 0.000
0.000 4.542 0.000
-2.271 -2.271 5.387
K Si Cd
1 2 2
Cartesian
0.000 0.000 0.000
0.000 0.000 4.216
2.271 2.271 1.172
0.000 2.271 2.694
2.271 0.000 2.694
```

Values from the calculation:
- Symmetry: No. 139
- VASP energy: -17.826 eV per atom
- E_form (uncorrected): 12 meV/atom
- D(E_F): 1.13 states/eV per cell

Density functional theory data (meta-GGA SCAN) for a crystal of YBi2Cl relaxed with PBEsol.

```
YBi2Cl
1.0
-3.777 -1.182 -3.639
1.399 -2.155 -4.723
-1.189 -5.133 -1.070
Y Bi Cl
1 2 1
Cartesian
-1.784 -4.235 -4.717
-0.892 -2.118 -2.358
-2.676 -6.353 -7.075
0.000 0.000 0.000
```

Values from the calculation:
- Symmetry: No. 225
- VASP energy: -48.565 eV per atom
- E_form (uncorrected): -320 meV/atom
- D(E_F): 2.68 states/eV per cell

Density functional theory data (meta-GGA SCAN) for a crystal of SnSeI2 relaxed with PBEsol.

```
SnSeI2
1.0
-2.203 3.713 -5.451
0.131 -6.920 -0.671
-4.538 1.300 5.106
I Sn Se
4 2 2
Cartesian
-4.129 -2.121 -2.806
-2.999 -0.588 0.260
-0.224 -3.900 -1.069
-5.867 2.795 1.585
0.000 0.000 0.000
-2.721 -3.612 0.687
-1.036 -1.604 -3.061
-3.888 1.705 -1.703
```

Values from the calculation:
- Symmetry: No. 122
- VASP energy: -32.054 eV per atom
- E_form (uncorrected): 316 meV/atom
- D(E_F): 6.63 states/eV per cell
- Distance to the lowest polymorph of the same formula: 0.000 eV per atom

Density functional theory data (meta-GGA SCAN) for a crystal of AlS2N2 relaxed with PBEsol.

```
AlS2N2
1.0
-2.476 1.653 -1.889
1.731 -0.797 -2.966
-3.276 -5.423 -0.454
S Al N
2 1 2
Cartesian
-2.010 -2.284 -2.655
-1.638 -2.712 -0.227
0.000 0.000 0.000
0.865 -0.399 -1.483
-1.238 0.827 -0.944
```

Values from the calculation:
- Symmetry: No. 123
- VASP energy: -8.187 eV per atom
- E_form (uncorrected): 931 meV/atom
- D(E_F): 3.35 states/eV per cell
- Distance to the lowest polymorph of the same formula: 0.000 eV per atom

Density functional theory data (meta-GGA SCAN) for a crystal of NaCd2Pd2 relaxed with PBEsol.

```
NaCd2Pd2
1.0
-1.254 -3.771 -0.580
1.702 -1.099 3.468
-5.577 3.747 1.600
Na Pd Cd
1 2 2
Cartesian
0.000 0.000 0.000
-1.825 0.106 3.256
-3.303 -1.230 1.232
-4.184 1.026 2.379
-0.944 -2.149 2.108
```

Values from the calculation:
- Symmetry: No. 139
- VASP energy: -26.297 eV per atom
- Energy relative to the elements: -0.179 eV per atom
- D(E_F): 1.57 states/eV per cell
- Distance to the lowest polymorph of the same formula: 0.163 eV per atom

Density functional theory data (meta-GGA SCAN) for a crystal of MgZn2Co relaxed with PBEsol.

```
MgZn2Co
1.0
3.017 0.000 0.000
0.000 3.008 0.000
0.000 0.000 6.106
Zn Co Mg
2 1 1
Cartesian
0.000 0.000 4.833
0.000 0.000 1.273
1.509 1.504 0.000
1.509 1.504 3.053
```

Values from the calculation:
- Symmetry: No. 123
- VASP energy: -12.364 eV per atom
- Energy relative to the elements: -0.037 eV per atom
- D(E_F): 1.70 states/eV per cell

Density functional theory data (meta-GGA SCAN) for a crystal of ZrIr2Au relaxed with PBEsol.

```
ZrIr2Au
1.0
2.938 0.000 0.000
0.000 4.745 0.004
-1.469 -0.948 4.643
Au Ir Zr
1 2 1
Cartesian
0.000 3.100 2.359
0.000 0.042 0.069
1.469 0.680 2.251
0.000 1.400 4.614
```

Values from the calculation:
- Symmetry: No. 8
- VASP energy: -60.847 eV per atom
- Energy relative to the elements: -0.333 eV per atom
- D(E_F): 3.76 states/eV per cell
- Distance to the lowest polymorph of the same formula: 0.054 eV per atom

Density functional theory data (meta-GGA SCAN) for a crystal of ZnCuAu relaxed with PBEsol.

```
ZnCuAu
1.0
2.836 0.000 0.000
0.000 3.508 0.000
-1.418 -1.754 4.208
Zn Au Cu
1 1 1
Cartesian
1.418 1.754 1.482
1.418 1.754 4.205
0.000 0.000 2.729
```

Values from the calculation:
- Symmetry: No. 44
- VASP energy: -32.790 eV per atom
- Energy relative to the elements: -0.166 eV per atom
- D(E_F): 0.86 states/eV per cell
- Distance to the lowest polymorph of the same formula: 0.000 eV per atom